[1]
## ReIr2W (meta-GGA SCAN)

Data for a crystal of ReIr2W relaxed with PBEsol.

- total DFT energy (no corrections) (eV per atom) = -71.04
- calculated density (g/cm3) = 21.65
- V (Å³/cell) = 115.7
- energy relative to the lowest polymorph listed for this composition (meV per atom) = 103.3
- E_form (meV/atom) = -291

Cell: 5.4469 7.7998 2.7237 Å, 90.00 90.00 90.00°
With the nearest neighbours (Å) after each atom.
Space group Cmmm (No. 65)
One atom of each set of equivalent atoms:
Re  0.0000  0.0000  0.0000 (multiplicity 2)  2 W 2.72, 2 Re 2.72, 8 Ir 2.74
Ir  0.2500  0.2500  0.5000 (multiplicity 4)  4 Ir 2.72, 4 W 2.74, 4 Re 2.74
W  0.0000  0.5000  0.0000 (multiplicity 2)  2 Re 2.72, 2 W 2.72, 8 Ir 2.74

[2]
## ReIrW (meta-GGA SCAN)

Data for a crystal of ReIrW relaxed with PBEsol.

- total DFT energy (no corrections) (eV per atom) = -70.18
- calculated density (g/cm3) = 17.85
- V (Å³/cell) = 209.2
- E_form (meV/atom) = 448

Cell: 5.9367 5.9367 5.9367 Å, 90.00 90.00 90.00°
With the nearest neighbours (Å) after each atom.
Space group F-43m (No. 216)
One atom of each set of equivalent atoms:
Re  0.0000  0.0000  0.0000 (multiplicity 4)  4 W 2.57
Ir  0.0000  0.0000  0.5000 (multiplicity 4)  4 W 2.57
W  0.2500  0.2500  0.7500 (multiplicity 4)  4 Re 2.57, 4 Ir 2.57

[3]
## ReIr2W (meta-GGA SCAN)

Data for a crystal of ReIr2W relaxed with PBEsol.

- total DFT energy (no corrections) (eV per atom) = -71.07
- calculated density (g/cm3) = 21.68
- V (Å³/cell) = 57.8
- energy relative to the lowest polymorph listed for this composition (meV per atom) = 71.0
- E_form (meV/atom) = -324

Cell: 3.8529 3.8529 3.8934 Å, 90.00 90.00 90.00°
With the nearest neighbours (Å) after each atom.
Space group P4/mmm (No. 123)
One atom of each set of equivalent atoms:
Re  0.0000  0.0000  0.0000 (multiplicity 1)  4 W 2.72, 8 Ir 2.74
Ir  0.0000  0.5000  0.5000 (multiplicity 2)  4 Ir 2.72, 4 W 2.74, 4 Re 2.74
W  0.5000  0.5000  0.0000 (multiplicity 1)  4 Re 2.72, 8 Ir 2.74

[4]
## ReIr2W (meta-GGA SCAN)

Data for a crystal of ReIr2W relaxed with PBEsol.

- total DFT energy (no corrections) (eV per atom) = -71.14
- calculated density (g/cm3) = 21.72
- V (Å³/cell) = 57.7
- energy relative to the lowest polymorph listed for this composition (meV per atom) = 0.0
- E_form (meV/atom) = -395

Cell: 2.7351 4.3943 4.7991 Å, 90.00 90.00 90.00°
With the nearest neighbours (Å) after each atom.
Space group Pmm2 (No. 25)
One atom of each set of equivalent atoms:
Re  0.0000  0.0000  0.0000 (multiplicity 1)  8 Ir 2.69-2.77, 2 W 2.73, 2 Re 2.74
Ir  0.5000  0.0000  0.4978 (multiplicity 1)  4 W 2.71, 4 Ir 2.74, 4 Re 2.75-2.77
Ir  0.5000  0.5000  0.1563 (multiplicity 1)  4 Re 2.69, 4 W 2.73-2.79, 4 Ir 2.74
W  0.0000  0.5000  0.6637 (multiplicity 1)  8 Ir 2.71-2.79, 2 Re 2.73, 2 W 2.74

[5]
## YReIr2 (meta-GGA SCAN)

Data for a crystal of YReIr2 relaxed with PBEsol.

- total DFT energy (no corrections) (eV per atom) = -60.29
- calculated density (g/cm3) = 16.51
- V (Å³/cell) = 132.7
- energy relative to the lowest polymorph listed for this composition (meV per atom) = 359.4
- E_form (meV/atom) = -3

Cell: 9.2986 2.7880 5.1821 Å, 90.00 99.06 90.00°
With the nearest neighbours (Å) after each atom.
Space group C2/m (No. 12)
One atom of each set of equivalent atoms:
Y  0.0000  0.0000  0.0000 (multiplicity 2)  2 Y 2.79, 6 Ir 2.92-2.96, 4 Re 2.94
Re  0.0000  0.5000  0.5000 (multiplicity 2)  6 Ir 2.74-2.76, 2 Re 2.79, 4 Y 2.94
Ir  0.2443  0.0000  0.7089 (multiplicity 4)  4 Ir 2.59-2.79, 3 Re 2.74-2.76

[6]
## YRe2Ir (meta-GGA SCAN)

Data for a crystal of YRe2Ir relaxed with PBEsol.

- total DFT energy (no corrections) (eV per atom) = -60.09
- calculated density (g/cm3) = 16.52
- V (Å³/cell) = 262.7
- E_form (meV/atom) = 195

Cell: 6.4047 6.4047 6.4047 Å, 90.00 90.00 90.00°
With the nearest neighbours (Å) after each atom.
Space group F-43m (No. 216)
One atom of each set of equivalent atoms:
Y  0.0000  0.0000  0.0000 (multiplicity 4)  4 Ir 2.77, 4 Re 2.77
Re  0.0000  0.0000  0.5000 (multiplicity 4)  4 Re 2.77, 4 Ir 2.77
Re  0.2500  0.2500  0.2500 (multiplicity 4)  4 Re 2.77, 4 Y 2.77
Ir  0.2500  0.2500  0.7500 (multiplicity 4)  4 Re 2.77, 4 Y 2.77

[7]
## YReIr2 (meta-GGA SCAN)

Data for a crystal of YReIr2 relaxed with PBEsol.

- total DFT energy (no corrections) (eV per atom) = -60.40
- calculated density (g/cm3) = 16.75
- V (Å³/cell) = 65.4
- energy relative to the lowest polymorph listed for this composition (meV per atom) = 248.8
- E_form (meV/atom) = -113

Cell: 4.7774 4.7774 2.8640 Å, 90.00 90.00 90.00°
With the nearest neighbours (Å) after each atom.
Space group P4/mmm (No. 123)
One atom of each set of equivalent atoms:
Y  0.0000  0.0000  0.0000 (multiplicity 1)  8 Ir 2.79, 2 Y 2.86
Re  0.5000  0.5000  0.0000 (multiplicity 1)  8 Ir 2.79, 2 Re 2.86
Ir  0.0000  0.5000  0.5000 (multiplicity 2)  4 Re 2.79, 4 Y 2.79, 2 Ir 2.86

[8]
## YReIr2 (meta-GGA SCAN)

Data for a crystal of YReIr2 relaxed with PBEsol.

- total DFT energy (no corrections) (eV per atom) = -60.65
- calculated density (g/cm3) = 16.77
- V (Å³/cell) = 65.3
- energy relative to the lowest polymorph listed for this composition (meV per atom) = 0.0
- E_form (meV/atom) = -362

Cell: 2.8721 2.8721 7.9166 Å, 90.00 90.00 90.00°
With the nearest neighbours (Å) after each atom.
Space group P4/mmm (No. 123)
One atom of each set of equivalent atoms:
Y  0.0000  0.0000  0.0000 (multiplicity 1)  4 Y 2.87, 8 Ir 3.01
Re  0.0000  0.0000  0.5000 (multiplicity 1)  8 Ir 2.67, 4 Re 2.87
Ir  0.5000  0.5000  0.2813 (multiplicity 2)  4 Re 2.67, 4 Ir 2.87